1.
Density functional theory data (PBE) for a relaxed structure of LaEuLu. Values from VASP.

```
&SYSTEM
  ibrav = 0, nat = 3, ntyp = 3
/
ATOMIC_SPECIES
La 138.91 La.upf
Eu 151.96 Eu.upf
Lu 174.97 Lu.upf
ATOMIC_POSITIONS angstrom
La 0.000 0.000 0.000
Eu 0.000 0.000 4.907
Lu 0.000 0.000 10.016
CELL_PARAMETERS angstrom
-1.863 1.863 7.686
1.863 -1.863 7.686
1.863 1.863 -7.686
```

Calculated values
space-group type	I4mm, No. 107
ΔH_f (0 K)	0.2	eV per formula unit
offset from the most stable computed form	0.002	eV/atom

2.
Density functional theory data (PBE) for a relaxed structure of LiIn2F. Values from VASP.

```
&SYSTEM
  ibrav = 0, nat = 4, ntyp = 3
/
ATOMIC_SPECIES
Li 6.94 Li.upf
In 114.82 In.upf
F 19.00 F.upf
ATOMIC_POSITIONS angstrom
Li 0.000 0.000 0.000
In 1.717 1.717 1.717
In 5.151 5.151 5.151
F 3.434 3.434 3.434
CELL_PARAMETERS angstrom
0.000 3.434 3.434
3.434 0.000 3.434
3.434 3.434 0.000
```

Calculated values
space-group type	Fm-3m, No. 225
offset from the most stable computed form	0.142	eV/atom
E_form (uncorrected)	-606	meV per atom

3.
Density functional theory data (PBE) for a relaxed structure of La2Ag2Ge. Values from VASP.

```
&SYSTEM
  ibrav = 0, nat = 10, ntyp = 3
/
ATOMIC_SPECIES
La 138.91 La.upf
Ag 107.87 Ag.upf
Ge 72.64 Ge.upf
ATOMIC_POSITIONS angstrom
La 1.344 2.423 0.000
La 2.423 6.189 0.000
La 5.110 1.344 0.000
La 6.189 5.110 0.000
Ag 0.972 4.739 2.262
Ag 2.794 0.972 2.262
Ag 4.739 6.561 2.262
Ag 6.561 2.794 2.262
Ge 0.000 0.000 2.262
Ge 3.766 3.766 2.262
CELL_PARAMETERS angstrom
7.533 0.000 0.000
0.000 7.533 0.000
0.000 0.000 4.525
```

Calculated values
space-group type	P4/mbm, No. 127
ΔH_f (0 K)	-1.7	eV per formula unit
offset from the most stable computed form	0.000	eV/atom

4.
Density functional theory data (PBE) for a relaxed structure of Th5GaTc2. Values from VASP.

```
&SYSTEM
  ibrav = 0, nat = 16, ntyp = 3
/
ATOMIC_SPECIES
Th 232.04 Th.upf
Ga 69.72 Ga.upf
Tc 98.00 Tc.upf
ATOMIC_POSITIONS angstrom
Th 0.000 0.000 0.000
Th 5.224 1.270 -1.873
Th 1.270 2.685 -1.873
Th 5.224 1.270 1.873
Th 1.270 2.685 1.873
Th 0.000 0.000 6.691
Th 2.685 1.270 4.818
Th -1.270 2.685 4.818
Th 2.685 1.270 8.564
Th -1.270 2.685 8.564
Ga 0.000 0.000 3.346
Ga 0.000 0.000 10.037
Tc 2.862 1.092 0.000
Tc 2.862 -1.092 6.691
Tc 1.092 5.047 0.000
Tc 1.092 2.862 6.691
CELL_PARAMETERS angstrom
-3.954 3.954 6.691
3.954 -3.954 6.691
3.954 3.954 -6.691
```

Calculated values
space-group type	I4/mcm, No. 140
ΔH_f (0 K)	-2.1	eV per formula unit

5.
Density functional theory data (PBE) for a relaxed structure of Ho5Te4P. Values from VASP.

```
&SYSTEM
  ibrav = 0, nat = 10, ntyp = 3
/
ATOMIC_SPECIES
Ho 164.93 Ho.upf
Te 127.60 Te.upf
P 30.97 P.upf
ATOMIC_POSITIONS angstrom
Ho 0.000 0.000 0.000
Ho 0.000 0.000 6.641
Ho 0.000 0.000 13.023
Ho 0.000 0.000 18.312
Ho 0.000 0.000 24.695
Te 0.000 0.000 3.209
Te 0.000 0.000 9.719
Te 0.000 0.000 21.616
Te 0.000 0.000 28.126
P 0.000 0.000 15.668
CELL_PARAMETERS angstrom
-2.099 2.099 15.668
2.099 -2.099 15.668
2.099 2.099 -15.668
```

Calculated values
space-group type	I4/mmm, No. 139
E_form (uncorrected)	-1353	meV per atom

6.
Density functional theory data (PBE) for a relaxed structure of Ca5CeBi5. Values from VASP.

```
&SYSTEM
  ibrav = 0, nat = 11, ntyp = 3
/
ATOMIC_SPECIES
Ca 40.08 Ca.upf
Ce 140.12 Ce.upf
Bi 208.98 Bi.upf
ATOMIC_POSITIONS angstrom
Ca 0.000 0.000 0.000
Ca 4.261 0.000 1.529
Ca 2.993 0.000 5.554
Ca 9.242 0.000 3.109
Ca 7.974 0.000 7.135
Ce -1.409 0.000 4.332
Bi 1.365 0.000 2.804
Bi 0.089 0.000 7.200
Bi 6.117 0.000 4.332
Bi 12.146 0.000 1.463
Bi 10.870 0.000 5.859
CELL_PARAMETERS angstrom
7.526 -3.206 0.000
7.526 3.206 0.000
-2.818 0.000 8.663
```

Calculated values
space-group type	C2/m, No. 12
ΔH_f (0 K)	-7.7	eV per formula unit